Here is crystalline CsHfS3 at its relaxed geometry from Alexandria via LeMat-Bulk. Energies are from PBE-GGA.

As for the space group: C2/c. As for the total energy: -120.70 eV for the cell shown. The magnetic moment is 0.000 μB per formula unit. The excess energy over the best structure of this formula in the dataset comes out at 0.000 eV per atom. The uncorrected formation energy is -1.40 eV per atom.

POSCAR file:
```
CsHfS3
1.0
-13.932 -4.704 3.745
-2.845 -4.779 8.144
6.659 4.512 5.707
S Cs Hf
12 4 4
direct
0.838 0.445 0.255 S
0.941 0.772 0.871 S
0.069 0.972 0.894 S
0.931 0.028 0.106 S
0.162 0.555 0.745 S
0.431 0.394 0.472 S
0.441 0.629 0.728 S
0.338 0.245 0.055 S
0.559 0.371 0.272 S
0.059 0.228 0.129 S
0.569 0.606 0.528 S
0.662 0.755 0.945 S
0.144 0.427 0.376 Cs
0.644 0.124 0.073 Cs
0.356 0.876 0.927 Cs
0.856 0.573 0.624 Cs
0.750 0.436 0.936 Hf
0.750 0.177 0.677 Hf
0.250 0.564 0.064 Hf
0.250 0.823 0.323 Hf
```